Entry 1:
Below is a PBEsol-optimized structure of LiMnBO3, with properties calculated at the SCAN level.

```
LiMnBO3
1.0
5.179 -0.004 0.008
-2.576 4.493 0.008
-0.167 -0.287 10.221
Li Mn B O
4 4 4 12
Cartesian
1.726 2.738 6.819
1.602 3.002 1.709
0.856 1.397 4.257
0.703 1.293 9.367
1.637 -0.013 1.373
-0.908 1.270 6.483
3.319 -0.251 9.041
-1.783 2.899 3.931
4.265 1.498 1.298
-0.902 4.302 6.408
3.375 -0.095 3.851
-1.843 2.738 8.961
4.109 1.008 4.269
-1.250 3.923 9.379
3.648 0.280 0.999
-1.653 3.162 6.110
3.494 2.579 1.707
0.419 4.169 6.817
2.017 0.043 3.548
-1.048 1.629 8.658
1.968 2.646 8.820
1.402 3.167 3.709
1.096 1.054 6.257
0.454 1.618 1.147
```

- energy relative to the elements, uncorrected (meV per atom) = -2400
- SG = Cc, No. 9
- crystal system = monoclinic
- distance to the lowest polymorph of the same formula (meV/atom) = 0
- final energy (eV per cell) = -244.7



Entry 2:
Below is a PBEsol-optimized structure of Al2TeC, with properties calculated at the SCAN level.

```
Al2TeC
1.0
5.454 0.000 0.000
0.000 5.454 0.000
-2.727 -2.727 4.980
C Te Al
2 2 4
Cartesian
2.727 0.000 2.490
2.727 2.727 0.000
0.000 2.727 2.490
0.000 0.000 0.000
1.996 4.091 1.245
3.458 1.364 1.245
-1.364 -0.731 3.735
1.364 0.731 3.735
```

- energy relative to the elements, uncorrected (meV per atom) = -238
- SG = I-42d, No. 122
- crystal system = tetragonal
- final energy (eV per cell) = -127.6



Entry 3:
Below is a PBEsol-optimized structure of TaCd2Te, with properties calculated at the SCAN level.

```
TaCd2Te
1.0
-4.687 -0.708 1.233
-1.558 -4.476 1.238
-1.188 -0.980 4.650
Cd Te Ta
2 1 1
Cartesian
0.000 0.000 0.000
-5.575 -4.623 5.341
-1.858 -1.541 1.780
-3.717 -3.082 3.561
```

- energy relative to the elements, uncorrected (meV per atom) = 624
- SG = F-43m, No. 216
- crystal system = cubic
- final energy (eV per cell) = -162.2



Entry 4:
Below is a PBEsol-optimized structure of BaSr, with properties calculated at the SCAN level.

```
BaSr
1.0
-1.044 -0.329 -3.989
-2.592 -2.289 2.271
-4.111 5.290 0.640
Sr Ba
1 1
Cartesian
-3.874 1.336 -0.539
0.000 0.000 0.000
```

- formation energy from the elements (eV/atom) = 0.010
- SG = Cmmm, No. 65
- crystal system = orthorhombic
- distance to the lowest polymorph of the same formula (meV/atom) = 2
- final energy (eV per cell) = -61.8



- What is the final energy in the third record?
  -162.2 eV per cell



- Among the records above, which one has the lowest final energy?
  LiMnBO3